## La2ScCr (PBE)

Data for a geometry-optimized La2ScCr structure.

Energy of formation from the pure elements = 0.328 eV/atom
Distance to the lowest polymorph of the same formula = 0.0732 eV per atom
Size of the total moment = 3.23 μB/cell
D(E_F) = 1.48 states/eV per atom
VASP energy = -6.12 eV/atom

Cell lengths 3.522, 5.080, 6.636 Å; angles 90.00, 105.37, 90.00 degrees
Space group Pm (No. 6)
Symmetry-distinct sites (fractional):
La 0.000 0.000 0.000 x1
La 0.326 0.500 0.652 x1
Sc 0.605 0.500 0.209 x1
Cr 0.722 0.000 0.446 x1